Record 1
VASP calculation (PBE) on crystalline TbEuInRh at its relaxed geometry.

Unit cell a=5.176 b=5.176 c=5.176 alpha=60.00 beta=60.00 gamma=60.00
Site moments in Bohr magnetons follow the coordinates.
Atoms (fractional coordinates):
1 In 0.750 0.750 0.750  0.01
2 Eu 0.500 0.500 0.500  6.76
3 Rh 0.250 0.250 0.250  -0.06
4 Tb 0.000 0.000 0.000  0.01

Summary:
- DFT formation energy: -0.412 eV/atom
- N(E_F): 1.96 states/eV per atom



Record 2
VASP calculation (PBE) on crystalline Ho12AlIn3 at its relaxed geometry.

Unit cell a=4.797 b=4.797 c=19.225 alpha=90.00 beta=90.00 gamma=90.00
Atoms (fractional coordinates):
1 Ho 0.500 0.500 0.248
2 Ho 0.500 0.000 0.374
3 Al 0.000 0.000 0.000
4 In 0.000 0.000 0.752
5 Ho 0.500 0.500 0.000
6 Ho 0.500 0.000 0.626
7 In 0.000 0.000 0.500
8 Ho 0.500 0.000 0.121
9 In 0.000 0.000 0.248
10 Ho 0.000 0.500 0.626
11 Ho 0.000 0.500 0.374
12 Ho 0.500 0.500 0.752
13 Ho 0.000 0.500 0.879
14 Ho 0.500 0.000 0.879
15 Ho 0.500 0.500 0.500
16 Ho 0.000 0.500 0.121

Summary:
- DFT formation energy: -0.245 eV/atom
- N(E_F): 1.38 states/eV per atom



Record 3
VASP calculation (PBE) on crystalline NbVPt3 at its relaxed geometry.

Unit cell a=4.950 b=5.194 c=7.400 alpha=110.55 beta=90.02 gamma=89.93
Site moments in Bohr magnetons follow the coordinates.
Atoms (fractional coordinates):
1 Pt 0.750 0.895 0.297  0.00
2 V 0.750 0.478 0.955  0.33
3 Nb 0.250 0.190 0.380  -0.02
4 Pt 0.750 0.402 0.297  0.00
5 Pt 0.250 0.598 0.703  0.00
6 V 0.250 0.522 0.045  0.33
7 Pt 0.250 0.105 0.703  0.00
8 Nb 0.750 0.810 0.620  -0.02
9 Pt 0.000 0.000 0.000  0.02
10 Pt 0.500 0.000 0.000  0.02

Summary:
- Energy relative to the lowest polymorph listed for this composition: 0 meV/atom
- DFT formation energy: -0.127 eV/atom
- N(E_F): 0.95 states/eV per atom



Record 4
VASP calculation (PBE) on crystalline Ag2HgAuF6 at its relaxed geometry.

Unit cell a=5.959 b=6.691 c=6.288 alpha=97.79 beta=118.99 gamma=117.51
Site moments in Bohr magnetons follow the coordinates.
Atoms (fractional coordinates):
1 F 0.992 0.632 0.807  0.10
2 F 0.102 0.144 0.734  0.01
3 F 0.057 0.375 0.190  0.09
4 F 0.432 0.859 0.629  0.09
5 F 0.777 0.744 0.116  0.01
6 F 0.554 0.169 0.332  0.08
7 Au 0.004 0.505 0.485  0.56
8 Ag 0.508 0.772 0.275  0.02
9 Ag 0.552 0.290 0.759  0.02
10 Hg 0.987 0.989 0.975  0.01

Summary:
- DFT total energy: -31.08 eV/cell
- N(E_F): 0.11 states/eV per atom



Record 5
VASP calculation (PBE) on crystalline TlNiHg2 at its relaxed geometry.

Unit cell a=3.301 b=3.066 c=8.790 alpha=90.00 beta=90.00 gamma=90.00
Atoms (fractional coordinates):
1 Ni 0.000 0.000 0.487
2 Hg 0.000 0.000 0.011
3 Hg 0.500 0.500 0.308
4 Tl 0.500 0.500 0.694

Summary:
- Energy relative to the lowest polymorph listed for this composition: 92 meV/atom
- DFT formation energy: 0.233 eV/atom
- N(E_F): 0.62 states/eV per atom